Entry i
Material: LaNd2Sc
Method: DFT, PBE-GGA
State: relaxed

Calculated values
Its calculated volume is 131.9 Å³/cell. The calculation puts the density of states at the Fermi level at 10.4 states/eV/f.u. The space-group type is No. 225.

```
data_LaNd2Sc
_symmetry_space_group_name_H-M 'P 1'
_symmetry_Int_Tables_number 1
_cell_length_a 5.714
_cell_length_b 5.714
_cell_length_c 5.714
_cell_angle_alpha 60.00
_cell_angle_beta 60.00
_cell_angle_gamma 60.00
loop_
_symmetry_equiv_pos_as_xyz
'x,y,z'
loop_
_atom_site_label
_atom_site_type_symbol
_atom_site_fract_x
_atom_site_fract_y
_atom_site_fract_z
La1 La 0.000 0.000 0.000
Sc1 Sc 0.500 0.500 0.500
Nd1 Nd 0.250 0.250 0.250
Nd2 Nd 0.750 0.750 0.750
```

---

Entry ii
Material: LaNd2Sc
Method: DFT, PBE-GGA
State: relaxed

Calculated values
Its calculated volume is 130.7 Å³/cell. The calculation puts the density of states at the Fermi level at 5.2 states/eV/f.u. The space-group type is No. 166.

```
data_LaNd2Sc
_symmetry_space_group_name_H-M 'P 1'
_symmetry_Int_Tables_number 1
_cell_length_a 3.600
_cell_length_b 3.600
_cell_length_c 11.833
_cell_angle_alpha 81.25
_cell_angle_beta 81.25
_cell_angle_gamma 60.00
loop_
_symmetry_equiv_pos_as_xyz
'x,y,z'
loop_
_atom_site_label
_atom_site_type_symbol
_atom_site_fract_x
_atom_site_fract_y
_atom_site_fract_z
Nd1 Nd 0.255 0.255 0.234
Sc1 Sc 0.000 0.000 0.000
Nd2 Nd 0.745 0.745 0.766
La1 La 0.500 0.500 0.500
```

---

Most stable: entry ii

---

Entry i
Material: LaNd7Sc2
Method: DFT, PBE-GGA
State: relaxed

Calculated values
Its calculated volume is 333.0 Å³/cell. The calculation puts the density of states at the Fermi level at 16.5 states/eV/f.u. The space-group type is No. 2.

```
data_LaNd7Sc2
_symmetry_space_group_name_H-M 'P 1'
_symmetry_Int_Tables_number 1
_cell_length_a 5.519
_cell_length_b 9.008
_cell_length_c 9.605
_cell_angle_alpha 118.01
_cell_angle_beta 106.67
_cell_angle_gamma 52.17
loop_
_symmetry_equiv_pos_as_xyz
'x,y,z'
loop_
_atom_site_label
_atom_site_type_symbol
_atom_site_fract_x
_atom_site_fract_y
_atom_site_fract_z
La1 La 0.000 0.000 0.000
Sc1 Sc 0.499 0.302 0.604
Nd1 Nd 0.751 0.860 0.223
Nd2 Nd 0.249 0.140 0.777
Nd3 Nd 0.752 0.636 0.776
Nd4 Nd 0.248 0.364 0.224
Nd5 Nd 0.000 0.203 0.406
Nd6 Nd 0.500 0.500 0.000
Nd7 Nd 0.000 0.797 0.594
Sc2 Sc 0.501 0.698 0.396
```

---

Entry ii
Material: LaNd7Sc2
Method: DFT, PBE-GGA
State: relaxed

Calculated values
Its calculated volume is 398.4 Å³/cell. The calculation puts the density of states at the Fermi level at 14.9 states/eV/f.u. The space-group type is No. 65.

```
data_LaNd7Sc2
_symmetry_space_group_name_H-M 'P 1'
_symmetry_Int_Tables_number 1
_cell_length_a 5.700
_cell_length_b 8.966
_cell_length_c 8.966
_cell_angle_alpha 119.60
_cell_angle_beta 90.00
_cell_angle_gamma 90.00
loop_
_symmetry_equiv_pos_as_xyz
'x,y,z'
loop_
_atom_site_label
_atom_site_type_symbol
_atom_site_fract_x
_atom_site_fract_y
_atom_site_fract_z
Nd1 Nd 0.500 0.060 0.306
Sc1 Sc 0.500 0.298 0.702
Nd2 Nd 0.500 0.500 0.500
Nd3 Nd 0.000 0.253 0.747
La1 La 0.000 0.000 0.000
Nd4 Nd 0.500 0.306 0.060
Nd5 Nd 0.500 0.694 0.940
Nd6 Nd 0.500 0.940 0.694
Nd7 Nd 0.000 0.747 0.253
Sc2 Sc 0.500 0.702 0.298
```

---

Most stable: entry i